(1)
Density functional theory data (GGA-PBE) for an optimized crystal structure of Cu2HgAs2.

CIF file:
```
data_Cu2HgAs2
_chemical_formula_sum 'Cu4 Hg2 As4'
_cell_length_a 4.2399
_cell_length_b 4.2399
_cell_length_c 10.3338
_cell_angle_alpha 90.00
_cell_angle_beta 90.00
_cell_angle_gamma 90.00
_symmetry_space_group_name_H-M 'I 4/m m m'
_symmetry_Int_Tables_number 139
_symmetry_space_group_name_Hall '-I 4 2'
loop_
_atom_site_label
_atom_site_type_symbol
_atom_site_fract_x
_atom_site_fract_y
_atom_site_fract_z
Cu1 Cu 0.0000 0.5000 0.2500
Hg1 Hg 0.0000 0.0000 0.0000
As1 As 0.0000 0.0000 0.3763
```

Computed properties:
For the energy of formation from the pure elements, the calculation gives 163.6 meV/atom. For the magnetization, the calculation gives 0.00 μB per formula unit.



(2)
Density functional theory data (GGA-PBE) for an optimized crystal structure of Cu2HgAs2.

CIF file:
```
data_Cu2HgAs2
_chemical_formula_sum 'Cu4 Hg2 As4'
_cell_length_a 8.0343
_cell_length_b 8.0343
_cell_length_c 2.7477
_cell_angle_alpha 90.00
_cell_angle_beta 90.00
_cell_angle_gamma 90.00
_symmetry_space_group_name_H-M 'P 4/m b m'
_symmetry_Int_Tables_number 127
_symmetry_space_group_name_Hall '-P 4 2ab'
loop_
_atom_site_label
_atom_site_type_symbol
_atom_site_fract_x
_atom_site_fract_y
_atom_site_fract_z
Cu1 Cu 0.1512 0.3488 0.0000
Hg1 Hg 0.0000 0.0000 0.5000
As1 As 0.1415 0.6415 0.5000
```

Computed properties:
For the energy of formation from the pure elements, the calculation gives 218.1 meV/atom. For the magnetization, the calculation gives 0.00 μB per formula unit.



(3)
Density functional theory data (GGA-PBE) for an optimized crystal structure of Cu2HgAs.

CIF file:
```
data_Cu2HgAs
_chemical_formula_sum 'Cu2 Hg1 As1'
_cell_length_a 2.9230
_cell_length_b 2.9230
_cell_length_c 8.1373
_cell_angle_alpha 90.00
_cell_angle_beta 90.00
_cell_angle_gamma 90.00
_symmetry_space_group_name_H-M 'P 4 m m'
_symmetry_Int_Tables_number 99
loop_
_symmetry_equiv_pos_as_xyz
'x,y,z'
'-y,x,z'
'-x,-y,z'
'y,-x,z'
'-x,y,z'
'y,x,z'
'x,-y,z'
'-y,-x,z'
loop_
_atom_site_label
_atom_site_type_symbol
_atom_site_fract_x
_atom_site_fract_y
_atom_site_fract_z
Cu1 Cu 0.0000 0.0000 0.0000
Cu2 Cu 0.5000 0.5000 0.1852
Hg1 Hg 0.0000 0.0000 0.4277
As1 As 0.5000 0.5000 0.8036
```

Computed properties:
For the energy of formation from the pure elements, the calculation gives 195.5 meV/atom. For the magnetization, the calculation gives 0.00 μB per formula unit.